A geometry-optimized Co2Os structure, computed with PBE.

Computed properties:
Calculated volume ... 16.7 Å³/atom
E above lowest polymorph ... 1.262 eV/atom
Energy relative to the elements ... 1.508 eV per atom
Crystal system ... tetragonal
Spin magnetization ... 0.313 μB/atom

a b c (Å): 5.4000 5.4000 3.4356
angles (deg): 90.00 90.00 90.00
Space group P4_2/mnm (No. 136)
One atom of each set of equivalent atoms:
Co 0.2022 0.2022 0.0000 x4
Os 0.0000 0.0000 0.5000 x2

=====

A geometry-optimized Co2Os3 structure, computed with PBE.

Computed properties:
Calculated volume ... 13.3 Å³/atom
Energy relative to the elements ... 0.747 eV per atom
Crystal system ... trigonal
Spin magnetization ... 0.133 μB/atom

a b c (Å): 6.1860 6.1860 12.0730
angles (deg): 90.00 90.00 120.00
Space group R-3c (No. 167, hexagonal axes)
One atom of each set of equivalent atoms:
Co 0.0000 0.0000 0.0915 x12
Os 0.0000 0.2542 0.2500 x18

=====

A geometry-optimized Co2Os structure, computed with PBE.

Computed properties:
Calculated volume ... 47.3 Å³/atom
E above lowest polymorph ... 2.665 eV/atom
Energy relative to the elements ... 2.911 eV per atom
Crystal system ... cubic
Spin magnetization ... 1.457 μB/atom

a b c (Å): 10.4308 10.4308 10.4308
angles (deg): 90.00 90.00 90.00
Space group Fd-3m (No. 227, origin choice 2)
One atom of each set of equivalent atoms:
Co 0.0000 0.0000 0.0000 x16
Os 0.1250 0.1250 0.1250 x8